1.
Density functional theory data (PBEsol) for a relaxed structure of K2Se2I.

Lattice parameters (Å, degrees): 4.0339 4.0339 18.8131 90.00 90.00 90.00
Space group I4/mmm (No. 139)
Unique sites:
K 0.0000 0.0000 0.1100
Se 0.0000 0.5000 0.2500
I 0.0000 0.0000 0.5000

2.
Density functional theory data (PBEsol) for a relaxed structure of KSi3I.

Lattice parameters (Å, degrees): 5.3845 5.3845 5.3845 90.00 90.00 90.00
Space group Pm-3m (No. 221)
Unique sites:
K 0.0000 0.0000 0.0000
Si 0.0000 0.5000 0.5000
I 0.5000 0.5000 0.5000

3.
Density functional theory data (PBEsol) for a relaxed structure of KSiI2.

Lattice parameters (Å, degrees): 7.9151 7.9151 7.9151 90.00 90.00 90.00
Space group Fm-3m (No. 225)
Unique sites:
K 0.0000 0.0000 0.0000
Si 0.0000 0.0000 0.5000
I 0.2500 0.2500 0.2500

| no. | ΔE_f (raw) (eV per atom) |
| --- | --- |
| 1 | -0.9299 |
| 2 | 1.1858 |
| 3 | -0.1224 |